Record 1
First-principles (GGA-PBE) data for a geometry-optimized CaHfCrPt2 structure, as listed in Alexandria. Values from VASP.

```
&SYSTEM
  ibrav = 0, nat = 5, ntyp = 4
/
ATOMIC_SPECIES
Ca 40.08 Ca.upf
Hf 178.49 Hf.upf
Cr 52.00 Cr.upf
Pt 195.08 Pt.upf
ATOMIC_POSITIONS angstrom
Ca 0.000 0.000 0.000
Hf 2.443 2.443 2.265
Cr 0.000 0.000 2.265
Pt 0.000 2.443 0.000
Pt 2.443 0.000 0.000
CELL_PARAMETERS angstrom
4.887 0.000 0.000
0.000 4.887 0.000
0.000 0.000 4.530
```

## Properties
- calculated formation energy (eV/atom) = 1.069
- E_tot (eV/atom) = -5.6628
- crystal system = tetragonal
- size of the total moment (μB per formula unit) = 3.7

Record 2
First-principles (GGA-PBE) data for a geometry-optimized CaHf2CrRe structure, as listed in Alexandria. Values from VASP.

```
&SYSTEM
  ibrav = 0, nat = 5, ntyp = 4
/
ATOMIC_SPECIES
Ca 40.08 Ca.upf
Hf 178.49 Hf.upf
Cr 52.00 Cr.upf
Re 186.21 Re.upf
ATOMIC_POSITIONS angstrom
Ca 0.000 0.000 0.000
Hf 0.000 2.489 0.000
Hf 2.489 0.000 0.000
Cr 2.489 2.489 2.273
Re 0.000 0.000 2.273
CELL_PARAMETERS angstrom
4.977 0.000 0.000
0.000 4.977 0.000
0.000 0.000 4.547
```

## Properties
- calculated formation energy (eV/atom) = 2.319
- E_tot (eV/atom) = -6.4773
- crystal system = tetragonal
- size of the total moment (μB per formula unit) = 3.6

Record 3
First-principles (GGA-PBE) data for a geometry-optimized Ca2HfCrRh structure, as listed in Alexandria. Values from VASP.

```
&SYSTEM
  ibrav = 0, nat = 5, ntyp = 4
/
ATOMIC_SPECIES
Ca 40.08 Ca.upf
Hf 178.49 Hf.upf
Cr 52.00 Cr.upf
Rh 102.91 Rh.upf
ATOMIC_POSITIONS angstrom
Ca 0.000 2.975 0.000
Ca 2.975 0.000 0.000
Hf 0.000 0.000 0.000
Cr 2.975 2.975 2.320
Rh 0.000 0.000 2.320
CELL_PARAMETERS angstrom
5.950 0.000 0.000
0.000 5.950 0.000
0.000 0.000 4.640
```

## Properties
- calculated formation energy (eV/atom) = 1.027
- E_tot (eV/atom) = -5.1596
- crystal system = tetragonal
- size of the total moment (μB per formula unit) = 4.1

Record 4
First-principles (GGA-PBE) data for a geometry-optimized CaHfCr2S6 structure, as listed in Alexandria. Values from VASP.

```
&SYSTEM
  ibrav = 0, nat = 10, ntyp = 4
/
ATOMIC_SPECIES
Ca 40.08 Ca.upf
Hf 178.49 Hf.upf
Cr 52.00 Cr.upf
S 32.06 S.upf
ATOMIC_POSITIONS angstrom
Ca 0.000 0.000 0.000
Hf 0.000 0.000 8.647
Cr 0.000 0.000 3.452
Cr 0.000 0.000 11.959
S -1.139 -2.019 7.624
S -1.865 0.319 10.364
S -1.179 1.996 7.624
S 0.656 -1.775 10.364
S 2.318 0.024 7.624
S 1.209 1.456 10.364
CELL_PARAMETERS angstrom
3.197 1.846 5.645
-3.197 1.846 5.645
0.000 -3.692 5.645
```

## Properties
- formation energy from raw total energies (eV/atom) = -1.136
- E_tot (eV/atom) = -6.7322
- crystal system = trigonal
- size of the total moment (μB per formula unit) = 6.0

Record 5
First-principles (GGA-PBE) data for a geometry-optimized CaHfCr2Se6 structure, as listed in Alexandria. Values from VASP.

```
&SYSTEM
  ibrav = 0, nat = 10, ntyp = 4
/
ATOMIC_SPECIES
Ca 40.08 Ca.upf
Hf 178.49 Hf.upf
Cr 52.00 Cr.upf
Se 78.96 Se.upf
ATOMIC_POSITIONS angstrom
Ca 0.000 0.000 0.000
Hf 0.000 0.000 9.102
Cr 0.000 0.000 3.528
Cr 0.000 0.000 12.517
Se -1.189 -2.092 7.955
Se -1.999 0.301 10.853
Se -1.217 2.075 7.955
Se 0.739 -1.882 10.853
Se 2.406 0.016 7.955
Se 1.260 1.581 10.853
CELL_PARAMETERS angstrom
3.366 1.943 5.964
-3.366 1.943 5.964
0.000 -3.887 5.964
```

## Properties
- formation energy from raw total energies (eV/atom) = -0.938
- E_tot (eV/atom) = -6.1493
- crystal system = trigonal
- size of the total moment (μB per formula unit) = 6.0

Record 6
First-principles (GGA-PBE) data for a geometry-optimized Sr2CaHfCr structure, as listed in Alexandria. Values from VASP.

```
&SYSTEM
  ibrav = 0, nat = 5, ntyp = 4
/
ATOMIC_SPECIES
Sr 87.62 Sr.upf
Ca 40.08 Ca.upf
Hf 178.49 Hf.upf
Cr 52.00 Cr.upf
ATOMIC_POSITIONS angstrom
Sr 0.000 3.065 0.000
Sr 3.065 0.000 0.000
Ca 0.000 0.000 2.947
Hf 0.000 0.000 0.000
Cr 3.065 3.065 2.947
CELL_PARAMETERS angstrom
6.129 0.000 0.000
0.000 6.129 0.000
0.000 0.000 5.895
```

## Properties
- calculated formation energy (eV/atom) = 1.825
- E_tot (eV/atom) = -3.1637
- crystal system = tetragonal
- size of the total moment (μB per formula unit) = 1.8

Record 7
First-principles (GGA-PBE) data for a geometry-optimized CaHfCr2Te structure, as listed in Alexandria. Values from VASP.

```
&SYSTEM
  ibrav = 0, nat = 5, ntyp = 4
/
ATOMIC_SPECIES
Ca 40.08 Ca.upf
Hf 178.49 Hf.upf
Cr 52.00 Cr.upf
Te 127.60 Te.upf
ATOMIC_POSITIONS angstrom
Ca 0.000 0.000 0.000
Hf 2.520 2.520 0.000
Cr 0.000 2.520 2.777
Cr 2.520 0.000 2.777
Te 0.000 0.000 2.777
CELL_PARAMETERS angstrom
5.039 0.000 0.000
0.000 5.039 0.000
0.000 0.000 5.553
```

## Properties
- formation energy from raw total energies (eV/atom) = 1.086
- E_tot (eV/atom) = -5.7823
- crystal system = tetragonal
- size of the total moment (μB per formula unit) = 5.4

Record 8
First-principles (GGA-PBE) data for a geometry-optimized Ca2Cr2Hg structure, as listed in Alexandria. Values from VASP.

```
&SYSTEM
  ibrav = 0, nat = 5, ntyp = 3
/
ATOMIC_SPECIES
Ca 40.08 Ca.upf
Cr 52.00 Cr.upf
Hg 200.59 Hg.upf
ATOMIC_POSITIONS angstrom
Ca 0.000 0.000 2.351
Ca 0.000 0.000 18.073
Cr 1.642 0.000 5.106
Cr 0.000 1.642 5.106
Hg 0.000 0.000 10.212
CELL_PARAMETERS angstrom
-1.642 1.642 10.212
1.642 -1.642 10.212
1.642 1.642 -10.212
```

## Properties
- calculated formation energy (eV/atom) = 0.370
- E_tot (eV/atom) = -4.3403
- ΔE to the lowest computed polymorph (eV per formula unit) = 0.00
- crystal system = tetragonal
- size of the total moment (μB per formula unit) = 0.0